# Ni2GePtO6, optimized geometry, DFT PBE+U
# E   -5.10 eV/atom
data_Ni2GePtO6
_symmetry_space_group_name_H-M 'P 4 m m'
_symmetry_Int_Tables_number 99
_symmetry_space_group_name_Hall 'P 4 -2'
_cell_length_a 5.384
_cell_length_b 5.384
_cell_length_c 4.234
_cell_angle_alpha 90.00
_cell_angle_beta 90.00
_cell_angle_gamma 90.00
loop_
_atom_site_label
_atom_site_type_symbol
_atom_site_fract_x
_atom_site_fract_y
_atom_site_fract_z
_atom_site_occupancy
Ni1 Ni 0.000 0.500 0.000 1
Ge1 Ge 0.000 0.000 0.655 1
Pt1 Pt 0.500 0.500 0.726 1
O1 O 0.000 0.000 0.252 1
O2 O 0.238 0.238 0.811 1
O3 O 0.500 0.500 0.240 1